VASP calculation (PBE with a Hubbard U) on an optimized crystal structure of V2SbIO.

The structure in extended XYZ format:
```
5
Lattice="5.408 0.000 0.000 0.000 5.408 0.000 0.000 0.000 5.848" Properties=species:S:1:pos:R:3 pbc="T T T"
V 0.000 2.704 0.000
V 2.704 0.000 0.000
Sb 0.000 0.000 0.000
I 0.000 0.000 2.924
O 2.704 2.704 2.924
```

* space-group type: P4/mmm
* raw total energy: -3.73 eV per atom